# 1
The following is a meta-GGA SCAN calculation of Rb3CaZr at its PBEsol-relaxed geometry, from the Alexandria database.

## Properties
Crystal system ... cubic
ΔE_f ... 104 kJ/mol of atoms
Volume ... 65.1 Å³ per atom
Total energy ... -19.44 eV per atom

Cell and atoms, written as POSCAR:
```
Rb3CaZr
1.0
6.8787 0.0000 0.0000
0.0000 6.8787 0.0000
0.0000 0.0000 6.8787
Rb Ca Zr
3 1 1
Cartesian
0.0000 0.0000 3.4393
0.0000 3.4393 0.0000
3.4393 0.0000 0.0000
3.4393 3.4393 3.4393
0.0000 0.0000 0.0000
```


# 2
The following is a meta-GGA SCAN calculation of CaRe3 at its PBEsol-relaxed geometry, from the Alexandria database.

## Properties
Energy relative to the lowest polymorph listed for this composition ... 0 kJ/mol of formula units
Crystal system ... monoclinic
ΔE_f ... 58 kJ/mol of atoms
Volume ... 16.0 Å³ per atom
Total energy ... -55.14 eV per atom

Cell and atoms, written as POSCAR:
```
CaRe3
1.0
2.6883 0.0000 0.0000
0.0000 4.5279 0.0000
-0.8187 0.0000 5.2694
Ca Re
1 3
Cartesian
0.0000 0.0000 0.0000
0.1274 2.2640 3.9087
0.9348 0.0000 2.6347
1.7423 2.2640 1.3607
```


# 3
The following is a meta-GGA SCAN calculation of Ca3Re at its PBEsol-relaxed geometry, from the Alexandria database.

## Properties
Energy relative to the lowest polymorph listed for this composition ... 0 kJ/mol of formula units
Crystal system ... trigonal
ΔE_f ... 79 kJ/mol of atoms
Volume ... 27.4 Å³ per atom
Total energy ... -24.20 eV per atom

Cell and atoms, written as POSCAR:
```
Ca3Re
1.0
1.6869 0.9739 11.1073
-1.6869 0.9739 11.1073
0.0000 -1.9479 11.1073
Ca Re
3 1
Cartesian
0.0000 0.0000 0.0000
0.0000 0.0000 7.7476
0.0000 0.0000 25.5744
0.0000 0.0000 16.6610
```


# 4
The following is a meta-GGA SCAN calculation of CaRe3 at its PBEsol-relaxed geometry, from the Alexandria database.

## Properties
Energy relative to the lowest polymorph listed for this composition ... 19 kJ/mol of formula units
Crystal system ... hexagonal
ΔE_f ... 63 kJ/mol of atoms
Volume ... 16.4 Å³ per atom
Total energy ... -55.09 eV per atom

Cell and atoms, written as POSCAR:
```
CaRe3
1.0
2.8059 0.0000 0.0000
-1.4029 2.4300 0.0000
0.0000 0.0000 9.6470
Ca Re
1 3
Cartesian
0.0000 0.0000 0.0000
0.0000 0.0000 4.8235
0.0000 1.6200 2.6671
0.0000 1.6200 6.9798
```


# 5
The following is a meta-GGA SCAN calculation of Ca3Re at its PBEsol-relaxed geometry, from the Alexandria database.

## Properties
Energy relative to the lowest polymorph listed for this composition ... 13 kJ/mol of formula units
Crystal system ... cubic
ΔE_f ... 83 kJ/mol of atoms
Volume ... 25.1 Å³ per atom
Total energy ... -24.17 eV per atom

Cell and atoms, written as POSCAR:
```
Ca3Re
1.0
4.6507 0.0000 0.0000
0.0000 4.6507 0.0000
0.0000 0.0000 4.6507
Ca Re
3 1
Cartesian
0.0000 0.0000 2.3254
0.0000 2.3254 0.0000
2.3254 0.0000 0.0000
2.3254 2.3254 2.3254
```


# 6
The following is a meta-GGA SCAN calculation of CaReRh at its PBEsol-relaxed geometry, from the Alexandria database.

## Properties
Energy relative to the lowest polymorph listed for this composition ... 101 kJ/mol of formula units
Crystal system ... trigonal
ΔE_f ... 54 kJ/mol of atoms
Volume ... 16.8 Å³ per atom
Total energy ... -37.61 eV per atom

Cell and atoms, written as POSCAR:
```
CaReRh
1.0
2.8709 0.0000 0.0000
-1.4355 2.4863 0.0000
0.0000 0.0000 7.0814
Ca Re Rh
1 1 1
Cartesian
0.0000 0.0000 0.0000
0.0000 1.6575 4.4961
1.4355 0.8288 2.4831
```


# 7
The following is a meta-GGA SCAN calculation of CaReRh at its PBEsol-relaxed geometry, from the Alexandria database.

## Properties
Energy relative to the lowest polymorph listed for this composition ... 0 kJ/mol of formula units
Crystal system ... tetragonal
ΔE_f ... 21 kJ/mol of atoms
Volume ... 17.9 Å³ per atom
Total energy ... -37.96 eV per atom

Cell and atoms, written as POSCAR:
```
CaReRh
1.0
-1.4697 1.4697 6.2114
1.4697 -1.4697 6.2114
1.4697 1.4697 -6.2114
Ca Re Rh
1 1 1
Cartesian
0.0000 0.0000 0.0000
0.0000 0.0000 3.7975
0.0000 0.0000 8.5552
```


# 8
The following is a meta-GGA SCAN calculation of Ca2ReRu at its PBEsol-relaxed geometry, from the Alexandria database.

## Properties
Energy relative to the lowest polymorph listed for this composition ... 0 kJ/mol of formula units
Crystal system ... monoclinic
ΔE_f ... 71 kJ/mol of atoms
Volume ... 18.3 Å³ per atom
Total energy ... -30.58 eV per atom

Cell and atoms, written as POSCAR:
```
Ca2ReRu
1.0
2.9248 0.0000 0.0000
0.0000 4.7581 0.0000
-0.6333 0.0000 5.2474
Ca Re Ru
2 1 1
Cartesian
-0.0498 0.0000 1.3310
2.3413 0.0000 3.9164
1.4624 2.3790 0.0000
1.1457 2.3790 2.6237
```